The following is a GGA-PBE calculation of crystalline Sr2LiCaH at its relaxed geometry, from Alexandria.

Structure (extended XYZ):
```
5
Lattice="-3.4985 -1.8112 3.7162 -2.5415 -2.8975 -3.8048 3.3257 -4.2855 1.0421" Properties=species:S:1:pos:R:3 pbc="T T T"
Li 1.6628 -2.1428 0.5211
Sr -1.2707 -1.4487 -1.9024
Sr -1.7493 -0.9056 1.8581
H 0.0000 0.0000 0.0000
Ca -1.3571 -4.4971 0.4768
```

## Properties
The polymorph energy (0 for the lowest one) comes out at 56 meV per atom. As for the space group: P4/mmm, No. 123. For the final energy, the calculation gives -2.163 eV/atom. For the size of the total moment, the calculation gives 0.0 μB/cell.

---

The following is a GGA-PBE calculation of crystalline SrLiCa2H at its relaxed geometry, from Alexandria.

Structure (extended XYZ):
```
5
Lattice="5.1007 0.0000 0.0000 0.0000 5.1007 0.0000 0.0000 0.0000 5.9097" Properties=species:S:1:pos:R:3 pbc="T T T"
Li 0.0000 0.0000 2.9549
H 0.0000 0.0000 0.0000
Sr 2.5504 2.5504 2.9549
Ca 2.5504 0.0000 0.0000
Ca 0.0000 2.5504 0.0000
```

## Properties
The polymorph energy (0 for the lowest one) comes out at 88 meV per atom. As for the space group: P4/mmm, No. 123. For the final energy, the calculation gives -2.195 eV/atom. For the size of the total moment, the calculation gives 0.0 μB/cell.

---

The following is a GGA-PBE calculation of crystalline SrLiCa2H at its relaxed geometry, from Alexandria.

Structure (extended XYZ):
```
5
Lattice="-0.4505 4.5897 -2.2025 1.6227 -1.9664 -4.4294 -5.3800 -1.2151 -1.4315" Properties=species:S:1:pos:R:3 pbc="T T T"
H 0.0000 0.0000 0.0000
Sr -2.6900 -0.6075 -0.7158
Ca -0.2253 2.2948 -1.1013
Ca 0.8113 -0.9832 -2.2147
Li -2.1039 0.7041 -4.0317
```

## Properties
The polymorph energy (0 for the lowest one) comes out at 0 meV per atom. As for the space group: P4/mmm, No. 123. For the final energy, the calculation gives -2.283 eV/atom. For the size of the total moment, the calculation gives 0.0 μB/cell.